1.
Compound: SrPaCuSe4
Source: the Alexandria database
Functional: GGA-PBE
Structure: optimized geometry

As for the raw formation energy: -1.251 eV/atom. Its raw total energy is -75.933 eV/cell.

The space group is P2_1/m (No. 11) and the conventional cell measures 6.562, 6.719 and 8.453 Å, with angles of 90.00, 107.77 and 90.00 degrees. The distinct sites, in fractional coordinates, are Sr at (0.232, 0.250, 0.051), Pa at (0.236, 0.250, 0.559), Cu at (0.233, 0.750, 0.330), Se at (0.026, 0.516, 0.723), Se at (0.433, 0.750, 0.136) and Se at (0.458, 0.750, 0.607).

2.
Compound: BaAlO2F
Source: the Alexandria database
Functional: GGA-PBE
Structure: optimized geometry

As for the raw formation energy: -3.006 eV/atom. Its raw total energy is -32.483 eV/cell.

The space group is P4/mmm (No. 123) and the conventional cell measures 3.892, 3.892 and 4.124 Å, with angles of 90.00, 90.00 and 90.00 degrees. The distinct sites, in fractional coordinates, are Ba at (0.000, 0.000, 0.000), Al at (0.500, 0.500, 0.500), O at (0.000, 0.500, 0.500) and F at (0.500, 0.500, 0.000).

3.
Compound: Ba2LaAl
Source: the Alexandria database
Functional: GGA-PBE
Structure: optimized geometry

Its formation energy from the elements is 0.099 eV per atom. Its raw total energy is -12.118 eV/cell.

The space group is P4/mmm (No. 123) and the conventional cell measures 5.211, 5.211 and 5.623 Å, with angles of 90.00, 90.00 and 90.00 degrees. The distinct sites, in fractional coordinates, are Ba at (0.000, 0.500, 0.000), La at (0.000, 0.000, 0.500) and Al at (0.500, 0.500, 0.500).

Q: Look up the raw total energy of the second one.
A: -32.483 eV/cell

Q: Which value of raw total energy does entry 3 give?
A: -12.118 eV/cell

Q: Which of these has the lowest raw total energy?
A: SrPaCuSe4